Record 1
## CrTc2SnI (GGA-PBEsol)

Data for a relaxed structure of CrTc2SnI.

Computed properties:
**DOS(E_F)**: 6.61 states/eV per cell
**ΔE_f (raw)**: 132 kJ/mol of atoms
**Calculated total energy**: -6.391 eV per atom

Geometry as POSCAR:
```
CrTc2SnI
1.0
-3.708 -2.573 -0.403
2.107 -3.376 2.167
-1.627 1.686 4.208
I Cr Sn Tc
1 1 1 2
direct
0.000 0.000 0.500
0.000 0.000 0.000
0.500 0.500 0.500
0.000 0.500 0.000
0.500 0.000 0.000
```

---

Record 2
## MnO2 (GGA-PBEsol)

Data for a relaxed structure of MnO2.

Computed properties:
**DOS(E_F)**: 1.80 states/eV per cell
**ΔE_f (raw)**: -152 kJ/mol of atoms
**Calculated total energy**: -8.328 eV per atom

Geometry as POSCAR:
```
MnO2
1.0
5.670 0.000 0.000
2.835 4.911 0.000
2.835 1.637 4.630
Mn O
4 8
direct
0.625 0.625 0.125
0.625 0.625 0.625
0.625 0.125 0.625
0.125 0.625 0.625
0.389 0.389 0.389
0.389 0.389 0.833
0.833 0.389 0.389
0.389 0.833 0.389
0.861 0.861 0.417
0.861 0.861 0.861
0.861 0.417 0.861
0.417 0.861 0.861
```

---

Record 3
## AlGaNi6 (GGA-PBEsol)

Data for a relaxed structure of AlGaNi6.

Computed properties:
**DOS(E_F)**: 7.83 states/eV per cell
**Calculated formation energy**: -3.1 eV/f.u.
**Calculated total energy**: -5.930 eV per atom

Geometry as POSCAR:
```
AlGaNi6
1.0
3.520 0.000 0.000
0.000 3.520 0.000
0.000 0.000 7.046
Ni Al Ga
6 1 1
direct
0.500 0.500 0.000
0.500 0.500 0.500
0.500 0.000 0.249
0.500 0.000 0.751
0.000 0.500 0.249
0.000 0.500 0.751
0.000 0.000 0.000
0.000 0.000 0.500
```

---

Record 4
## BeCoCu2 (GGA-PBEsol)

Data for a relaxed structure of BeCoCu2.

Computed properties:
**DOS(E_F)**: 2.98 states/eV per cell
**Calculated formation energy**: 0.3 eV/f.u.
**Calculated total energy**: -5.029 eV per atom

Geometry as POSCAR:
```
BeCoCu2
1.0
2.422 0.000 0.000
0.000 3.500 0.000
0.000 0.000 4.840
Be Co Cu
1 1 2
direct
0.500 0.500 0.000
0.500 0.500 0.500
0.000 0.000 0.756
0.000 0.000 0.244
```

---

Record 5
## MgInPb2 (GGA-PBEsol)

Data for a relaxed structure of MgInPb2.

Computed properties:
**DOS(E_F)**: 2.24 states/eV per cell
**Calculated formation energy**: -0.1 eV/f.u.
**Calculated total energy**: -3.206 eV per atom

Geometry as POSCAR:
```
MgInPb2
1.0
3.392 0.000 0.000
0.000 3.392 0.000
0.000 0.000 9.239
Pb Mg In
2 1 1
direct
0.000 0.000 0.979
0.500 0.500 0.261
0.500 0.500 0.740
0.000 0.000 0.520
```

---

Record 6
## ZrGa2O2 (GGA-PBEsol)

Data for a relaxed structure of ZrGa2O2.

Computed properties:
**DOS(E_F)**: 2.06 states/eV per cell
**ΔE_f (raw)**: -81 kJ/mol of atoms
**Calculated total energy**: -6.098 eV per atom

Geometry as POSCAR:
```
ZrGa2O2
1.0
-2.813 1.363 1.466
-1.730 -2.927 -0.597
4.007 -1.322 4.853
O Ga Zr
2 2 1
direct
0.250 0.750 0.500
0.750 0.250 0.500
0.336 0.336 0.672
0.664 0.664 0.328
0.000 0.000 0.000
```

---

Record 7
## Zr3Zn (GGA-PBEsol)

Data for a relaxed structure of Zr3Zn.

Computed properties:
**DOS(E_F)**: 3.87 states/eV per cell
**Calculated formation energy**: -0.5 eV/f.u.
**Calculated total energy**: -7.332 eV per atom

Geometry as POSCAR:
```
Zr3Zn
1.0
-2.769 -1.373 0.384
0.191 -1.385 -3.573
2.999 -5.418 2.261
Zn Zr
1 3
direct
0.000 0.000 0.000
0.000 0.000 0.500
0.500 0.500 0.233
0.500 0.500 0.767
```

---

Record 8
## MgTa2Ag (GGA-PBEsol)

Data for a relaxed structure of MgTa2Ag.

Computed properties:
**DOS(E_F)**: 3.44 states/eV per cell
**Calculated formation energy**: 1.2 eV/f.u.
**Calculated total energy**: -7.228 eV per atom

Geometry as POSCAR:
```
MgTa2Ag
1.0
3.842 0.000 0.000
0.000 3.842 0.000
0.000 0.000 4.732
Ag Mg Ta
1 1 2
direct
0.500 0.500 0.500
0.000 0.000 0.500
0.000 0.500 0.000
0.500 0.000 0.000
```